1.
Below is an optimized crystal structure of K2TaSi, with properties calculated at the PBEsol level.

Summary:
Magnetic moment   0.165 μB per atom
Calculated total energy   -4.11 eV/atom
Symmetry   Pmmm
Crystal system   orthorhombic

```
K2TaSi
1.0
2.941 0.000 0.000
0.000 5.493 0.000
0.000 0.000 5.851
K Ta Si
2 1 1
direct
0.000 0.246 0.000
0.000 0.754 0.000
0.500 0.500 0.500
0.500 0.000 0.500
```

2.
Below is an optimized crystal structure of YGa2Co2, with properties calculated at the PBEsol level.

Summary:
Magnetic moment   0.001 μB per atom
Energy relative to the elements   -0.4156 eV per atom
Calculated total energy   -6.21 eV/atom
Symmetry   I4/mmm
Crystal system   tetragonal

```
YGa2Co2
1.0
-1.993 1.993 4.854
1.993 -1.993 4.854
1.993 1.993 -4.854
Y Ga Co
1 2 2
direct
0.000 0.000 0.000
0.250 0.750 0.500
0.750 0.250 0.500
0.390 0.390 0.000
0.610 0.610 0.000
```

3.
Below is an optimized crystal structure of SbPb3, with properties calculated at the PBEsol level.

Summary:
Magnetic moment   0.000 μB per atom
Calculated total energy   -4.11 eV/atom
Symmetry   Imm2
Crystal system   orthorhombic

```
SbPb3
1.0
-1.720 5.675 2.956
1.720 -5.675 2.956
1.720 5.675 -2.956
Sb Pb
1 3
direct
0.000 0.000 0.000
0.433 0.684 0.748
0.507 0.007 0.500
0.936 0.684 0.252
```

4.
Below is an optimized crystal structure of ZrIn2Co, with properties calculated at the PBEsol level.

Summary:
Magnetic moment   0.000 μB per atom
Energy relative to the elements   0.0232 eV per atom
Calculated total energy   -5.67 eV/atom
Symmetry   F-43m
Crystal system   cubic

```
ZrIn2Co
1.0
0.000 3.299 3.299
3.299 0.000 3.299
3.299 3.299 0.000
Zr In Co
1 2 1
direct
0.000 0.000 0.000
0.500 0.500 0.500
0.750 0.750 0.750
0.250 0.250 0.250
```

5.
Below is an optimized crystal structure of Ta2In2Rh, with properties calculated at the PBEsol level.

Summary:
Magnetic moment   0.000 μB per atom
Energy relative to the elements   0.5410 eV per atom
Calculated total energy   -7.30 eV/atom
Symmetry   I4/mmm
Crystal system   tetragonal

```
Ta2In2Rh
1.0
-1.827 1.827 7.342
1.827 -1.827 7.342
1.827 1.827 -7.342
Ta In Rh
2 2 1
direct
0.250 0.750 0.500
0.750 0.250 0.500
0.091 0.091 0.000
0.909 0.909 0.000
0.500 0.500 0.000
```

6.
Below is an optimized crystal structure of BaNi2Te, with properties calculated at the PBEsol level.

Summary:
Magnetic moment   0.020 μB per atom
Calculated total energy   -4.73 eV/atom
Symmetry   Pmmm
Crystal system   orthorhombic

```
BaNi2Te
1.0
4.156 0.000 0.000
0.000 4.847 0.000
0.000 0.000 4.953
Ba Ni Te
1 2 1
direct
0.000 0.000 0.000
0.500 0.500 0.235
0.500 0.500 0.765
0.000 0.500 0.500
```

7.
Below is an optimized crystal structure of Hg2OsBr, with properties calculated at the PBEsol level.

Summary:
Magnetic moment   0.001 μB per atom
Calculated total energy   -3.09 eV/atom
Symmetry   Immm
Crystal system   orthorhombic

```
Hg2OsBr
1.0
-1.442 2.208 6.533
1.442 -2.208 6.533
1.442 2.208 -6.533
Hg Os Br
2 1 1
direct
0.189 0.189 0.000
0.811 0.811 0.000
0.000 0.500 0.500
0.500 0.000 0.500
```

8.
Below is an optimized crystal structure of BeIr, with properties calculated at the PBEsol level.

Summary:
Magnetic moment   0.000 μB per atom
Energy relative to the elements   -0.4621 eV per atom
Calculated total energy   -7.37 eV/atom
Symmetry   Cmcm
Crystal system   orthorhombic

```
BeIr
1.0
1.393 -4.162 0.000
1.393 4.162 0.000
0.000 0.000 3.706
Be Ir
2 2
direct
0.080 0.920 0.750
0.920 0.080 0.250
0.358 0.642 0.750
0.642 0.358 0.250
```

9.
Below is an optimized crystal structure of AlCrW2C, with properties calculated at the PBEsol level.

Summary:
Magnetic moment   0.000 μB per atom
Energy relative to the elements   1.5434 eV per atom
Calculated total energy   -8.78 eV/atom
Symmetry   P4/mmm
Crystal system   tetragonal

```
AlCrW2C
1.0
4.582 0.000 0.000
0.000 4.582 0.000
0.000 0.000 3.602
Al Cr W C
1 1 2 1
direct
0.000 0.000 0.000
0.500 0.500 0.500
0.000 0.500 0.500
0.500 0.000 0.500
0.500 0.500 0.000
```

10.
Below is an optimized crystal structure of BaCaMgTe2, with properties calculated at the PBEsol level.

Summary:
Magnetic moment   0.060 μB per atom
Calculated total energy   -2.78 eV/atom
Symmetry   P4/mmm
Crystal system   tetragonal

```
BaCaMgTe2
1.0
5.754 0.000 0.000
0.000 5.754 0.000
0.000 0.000 6.305
Ba Ca Mg Te
1 1 1 2
direct
0.000 0.000 0.000
0.000 0.000 0.500
0.500 0.500 0.000
0.000 0.500 0.500
0.500 0.000 0.500
```

11.
Below is an optimized crystal structure of Mn2CoAu, with properties calculated at the PBEsol level.

Summary:
Magnetic moment   2.038 μB per atom
Energy relative to the elements   0.3204 eV per atom
Calculated total energy   -7.48 eV/atom
Polymorph energy (0 for the lowest one)   0.190 eV per atom
Symmetry   R-3m
Crystal system   trigonal

```
Mn2CoAu
1.0
1.379 0.796 8.205
-1.379 0.796 8.205
0.000 -1.593 8.205
Mn Co Au
2 1 1
direct
0.242 0.242 0.242
0.758 0.758 0.758
0.500 0.500 0.500
0.000 0.000 0.000
```

12.
Below is an optimized crystal structure of Pt3Au, with properties calculated at the PBEsol level.

Summary:
Magnetic moment   0.000 μB per atom
Energy relative to the elements   0.0444 eV per atom
Calculated total energy   -6.16 eV/atom
Symmetry   Cmmm
Crystal system   orthorhombic

```
Pt3Au
1.0
2.786 -3.981 0.000
2.786 3.981 0.000
0.000 0.000 2.782
Pt Au
3 1
direct
0.000 0.000 0.000
0.000 0.500 0.500
0.500 0.000 0.500
0.500 0.500 0.000
```

13.
Below is an optimized crystal structure of LiInNi2, with properties calculated at the PBEsol level.

Summary:
Magnetic moment   0.000 μB per atom
Energy relative to the elements   -0.1189 eV per atom
Calculated total energy   -4.44 eV/atom
Symmetry   P4/mmm
Crystal system   tetragonal

```
LiInNi2
1.0
3.781 0.000 0.000
0.000 3.781 0.000
0.000 0.000 3.606
Li In Ni
1 1 2
direct
0.000 0.000 0.000
0.500 0.500 0.000
0.000 0.500 0.500
0.500 0.000 0.500
```

14.
Below is an optimized crystal structure of CdP2SeCl, with properties calculated at the PBEsol level.

Summary:
Magnetic moment   0.001 μB per atom
Calculated total energy   -3.02 eV/atom
Symmetry   P4/mmm
Crystal system   tetragonal

```
CdP2SeCl
1.0
4.794 0.000 0.000
0.000 4.794 0.000
0.000 0.000 4.849
Cd P Se Cl
1 2 1 1
direct
0.000 0.000 0.000
0.000 0.500 0.500
0.500 0.000 0.500
0.500 0.500 0.500
0.500 0.500 0.000
```

15.
Below is an optimized crystal structure of Ti2GaWS, with properties calculated at the PBEsol level.

Summary:
Magnetic moment   0.003 μB per atom
Calculated total energy   -6.78 eV/atom
Symmetry   P4/mmm
Crystal system   tetragonal

```
Ti2GaWS
1.0
4.718 0.000 0.000
0.000 4.718 0.000
0.000 0.000 4.802
Ti Ga W S
2 1 1 1
direct
0.000 0.500 0.000
0.500 0.000 0.000
0.000 0.000 0.500
0.000 0.000 0.000
0.500 0.500 0.500
```

16.
Below is an optimized crystal structure of GaBi4Br4, with properties calculated at the PBEsol level.

Summary:
Magnetic moment   0.000 μB per atom
Calculated total energy   -3.54 eV/atom
Symmetry   Pna2_1
Crystal system   orthorhombic

```
GaBi4Br4
1.0
18.240 0.000 0.000
0.000 10.203 0.000
0.000 0.000 13.314
Ga Bi Br
8 32 32
direct
0.005 0.005 0.000
0.177 0.526 0.814
0.323 0.026 0.314
0.495 0.505 0.500
0.505 0.495 0.000
0.677 0.974 0.814
0.823 0.474 0.314
0.995 0.995 0.500
0.048 0.567 0.162
0.067 0.552 0.392
0.072 0.291 0.265
0.172 0.374 0.093
0.197 0.352 0.410
0.202 0.941 0.737
0.205 0.671 0.143
0.224 0.656 0.371
0.276 0.156 0.871
0.295 0.171 0.643
0.298 0.441 0.237
0.303 0.852 0.910
0.328 0.874 0.593
0.428 0.791 0.765
0.433 0.052 0.892
0.452 0.067 0.662
0.548 0.933 0.162
0.567 0.948 0.392
0.572 0.209 0.265
0.672 0.126 0.093
0.697 0.148 0.410
0.702 0.559 0.737
0.705 0.829 0.143
0.724 0.844 0.371
0.776 0.344 0.871
0.795 0.329 0.643
0.798 0.059 0.237
0.803 0.648 0.910
0.828 0.626 0.593
0.928 0.709 0.765
0.933 0.448 0.892
0.952 0.433 0.662
0.004 0.022 0.825
0.056 0.813 0.570
0.059 0.184 0.550
0.111 0.329 0.820
0.114 0.692 0.901
0.124 0.001 0.064
0.191 0.579 0.645
0.207 0.996 0.387
0.293 0.496 0.887
0.309 0.079 0.145
0.376 0.501 0.564
0.386 0.192 0.401
0.389 0.829 0.320
0.441 0.684 0.050
0.444 0.313 0.070
0.496 0.522 0.325
0.504 0.478 0.825
0.556 0.687 0.570
0.559 0.316 0.550
0.611 0.171 0.820
0.614 0.808 0.901
0.624 0.499 0.064
0.691 0.921 0.645
0.707 0.504 0.387
0.793 0.004 0.887
0.809 0.421 0.145
0.876 0.999 0.564
0.886 0.308 0.401
0.889 0.671 0.320
0.941 0.816 0.050
0.944 0.187 0.070
0.996 0.978 0.325
```

17.
Below is an optimized crystal structure of Zr3TaFe8, with properties calculated at the PBEsol level.

Summary:
Magnetic moment   0.948 μB per atom
Energy relative to the elements   -0.2609 eV per atom
Calculated total energy   -9.55 eV/atom
Symmetry   R3m
Crystal system   trigonal

```
Zr3TaFe8
1.0
2.424 1.400 7.927
-2.424 1.400 7.927
0.000 -2.799 7.927
Zr Ta Fe
3 1 8
direct
0.000 0.000 0.000
0.126 0.126 0.126
0.501 0.501 0.501
0.625 0.625 0.625
0.060 0.563 0.563
0.064 0.064 0.565
0.064 0.565 0.064
0.313 0.313 0.313
0.563 0.060 0.563
0.563 0.563 0.060
0.565 0.064 0.064
0.813 0.813 0.813
```

18.
Below is an optimized crystal structure of SrYSbI2, with properties calculated at the PBEsol level.

Summary:
Magnetic moment   0.000 μB per atom
Calculated total energy   -4.23 eV/atom
Polymorph energy (0 for the lowest one)   0.000 eV per atom
Symmetry   P4/mmm
Crystal system   tetragonal

```
SrYSbI2
1.0
5.776 0.000 0.000
0.000 5.776 0.000
0.000 0.000 5.987
Sr Y Sb I
1 1 1 2
direct
0.000 0.000 0.000
0.500 0.500 0.500
0.500 0.500 0.000
0.000 0.500 0.500
0.500 0.000 0.500
```

19.
Below is an optimized crystal structure of NaSi2Au2, with properties calculated at the PBEsol level.

Summary:
Magnetic moment   0.000 μB per atom
Calculated total energy   -4.34 eV/atom
Symmetry   I4/mmm
Crystal system   tetragonal

```
NaSi2Au2
1.0
-2.176 2.176 4.868
2.176 -2.176 4.868
2.176 2.176 -4.868
Na Si Au
1 2 2
direct
0.000 0.000 0.000
0.380 0.380 0.000
0.620 0.620 0.000
0.250 0.750 0.500
0.750 0.250 0.500
```

20.
Below is an optimized crystal structure of Li2MgTi3O8, with properties calculated at the PBEsol level.

Summary:
Magnetic moment   0.000 μB per atom
Calculated total energy   -8.05 eV/atom
Polymorph energy (0 for the lowest one)   0.000 eV per atom
Symmetry   P2_13
Crystal system   cubic

```
Li2MgTi3O8
1.0
8.352 0.000 0.000
0.000 8.352 0.000
0.000 0.000 8.352
Li Mg Ti O
8 4 12 32
direct
0.002 0.498 0.502
0.124 0.876 0.376
0.376 0.124 0.876
0.498 0.502 0.002
0.502 0.002 0.498
0.624 0.624 0.624
0.876 0.376 0.124
0.998 0.998 0.998
0.248 0.748 0.752
0.252 0.252 0.252
0.748 0.752 0.248
0.752 0.248 0.748
0.120 0.627 0.134
0.127 0.366 0.880
0.134 0.120 0.627
0.366 0.880 0.127
0.373 0.634 0.380
0.380 0.373 0.634
0.620 0.873 0.866
0.627 0.134 0.120
0.634 0.380 0.373
0.866 0.620 0.873
0.873 0.866 0.620
0.880 0.127 0.366
0.107 0.127 0.390
0.110 0.893 0.627
0.112 0.612 0.888
0.122 0.144 0.859
0.127 0.390 0.107
0.138 0.362 0.638
0.141 0.622 0.356
0.144 0.859 0.122
0.356 0.141 0.622
0.359 0.378 0.856
0.362 0.638 0.138
0.373 0.610 0.607
0.378 0.856 0.359
0.388 0.388 0.388
0.390 0.107 0.127
0.393 0.873 0.890
0.607 0.373 0.610
0.610 0.607 0.373
0.612 0.888 0.112
0.622 0.356 0.141
0.627 0.110 0.893
0.638 0.138 0.362
0.641 0.878 0.644
0.644 0.641 0.878
0.856 0.359 0.378
0.859 0.122 0.144
0.862 0.862 0.862
0.873 0.890 0.393
0.878 0.644 0.641
0.888 0.112 0.612
0.890 0.393 0.873
0.893 0.627 0.110
```

21.
Below is an optimized crystal structure of AlAgPt2, with properties calculated at the PBEsol level.

Summary:
Magnetic moment   0.000 μB per atom
Energy relative to the elements   -0.6433 eV per atom
Calculated total energy   -5.98 eV/atom
Symmetry   P4/mmm
Crystal system   tetragonal

```
AlAgPt2
1.0
2.868 0.000 0.000
0.000 2.868 0.000
0.000 0.000 7.236
Al Ag Pt
1 1 2
direct
0.000 0.000 0.000
0.000 0.000 0.500
0.500 0.500 0.219
0.500 0.500 0.781
```

22.
Below is an optimized crystal structure of YRuAu2, with properties calculated at the PBEsol level.

Summary:
Magnetic moment   0.134 μB per atom
Energy relative to the elements   -0.2676 eV per atom
Calculated total energy   -6.48 eV/atom
Symmetry   I-4m2
Crystal system   tetragonal

```
YRuAu2
1.0
-2.063 2.063 4.183
2.063 -2.063 4.183
2.063 2.063 -4.183
Y Ru Au
1 1 2
direct
0.000 0.000 0.000
0.750 0.250 0.500
0.250 0.750 0.500
0.500 0.500 0.000
```